Below is an optimized crystal structure of GeIrPb, with properties calculated at the GGA-PBE level.

Output
- VASP energy: -16.9 eV per cell

abc: 4.4982 4.4982 4.4982
angles: 60.00 60.00 60.00
Atoms (fractional coordinates):
Ir (0.0000, 0.0000, 0.0000)
Pb (0.7500, 0.7500, 0.7500)
Ge (0.2500, 0.2500, 0.2500)